No. 1
Material: CoAgBr2
Method: DFT, GGA-PBE
State: relaxed

Cell: 5.491 5.491 5.491 Å, 141.72 113.84 79.10°
Each line ends with the local moment (μB).
Positions (direct):
Br 0.554 0.554 0.000  0.08
Br 0.946 0.946 0.000  0.08
Ag 0.250 0.750 0.500  0.00
Co 0.750 0.250 0.500  1.89

total magnetization	2.09	Bohr magnetons per cell
raw formation energy	0.18	eV per atom
DOS at the Fermi energy	4.10	states/eV/f.u.

---

No. 2
Material: Zn2BiBr
Method: DFT, GGA-PBE
State: relaxed

Cell: 6.225 6.225 7.865 Å, 66.69 66.69 90.00°
Positions (direct):
Br 0.500 0.500 0.000
Br 0.250 0.750 0.500
Zn 0.375 0.357 0.750
Zn 0.875 0.893 0.750
Zn 0.643 0.125 0.250
Zn 0.107 0.625 0.250
Bi 0.750 0.250 0.500
Bi 0.000 0.000 0.000

total magnetization	0.00	Bohr magnetons per cell
raw formation energy	-0.17	eV per atom
DOS at the Fermi energy	0.55	states/eV/f.u.

---

No. 3
Material: ErScCl
Method: DFT, GGA-PBE
State: relaxed

Cell: 3.522 3.522 6.656 Å, 90.00 90.00 120.00°
Positions (direct):
Er 0.000 0.000 0.985
Sc 0.667 0.333 0.358
Cl 0.333 0.667 0.657

total magnetization	0.00	Bohr magnetons per cell
raw formation energy	-0.86	eV per atom
DOS at the Fermi energy	3.90	states/eV/f.u.

---

No. 4
Material: MgSiIr2
Method: DFT, GGA-PBE
State: relaxed

Cell: 6.968 6.968 5.623 Å, 51.71 51.71 90.00°
Positions (direct):
Ir 0.686 0.125 0.250
Ir 0.064 0.625 0.250
Ir 0.375 0.314 0.750
Ir 0.875 0.936 0.750
Si 0.750 0.250 0.500
Si 0.000 0.000 0.000
Mg 0.250 0.750 0.500
Mg 0.500 0.500 0.000

total magnetization	0.00	Bohr magnetons per cell
raw formation energy	-0.19	eV per atom
DOS at the Fermi energy	0.95	states/eV/f.u.

---

No. 5
Material: Sr3Mg4Cd4
Method: DFT, GGA-PBE
State: relaxed

Cell: 7.605 7.605 7.605 Å, 109.47 109.47 109.47°
Positions (direct):
Mg 0.000 0.251 0.000
Mg 0.251 0.000 0.000
Mg 0.000 0.000 0.251
Mg 0.749 0.749 0.749
Sr 0.000 0.500 0.500
Sr 0.500 0.500 0.000
Sr 0.500 0.000 0.500
Cd 0.609 0.000 0.000
Cd 0.000 0.000 0.609
Cd 0.391 0.391 0.391
Cd 0.000 0.609 0.000

ΔH_f (0 K)	-149	meV per atom
total magnetization	0.00	Bohr magnetons per cell
DOS at the Fermi energy	10.11	states/eV/f.u.

---

No. 6
Material: Ca4LaIn5
Method: DFT, GGA-PBE
State: relaxed

Cell: 3.898 3.898 19.165 Å, 90.00 90.00 90.00°
Positions (direct):
La 0.000 0.000 0.000
In 0.500 0.500 0.893
In 0.500 0.500 0.500
In 0.500 0.500 0.697
In 0.500 0.500 0.303
In 0.500 0.500 0.107
Ca 0.000 0.000 0.598
Ca 0.000 0.000 0.402
Ca 0.000 0.000 0.206
Ca 0.000 0.000 0.794

ΔH_f (0 K)	-479	meV per atom
total magnetization	0.00	Bohr magnetons per cell
DOS at the Fermi energy	6.49	states/eV/f.u.

---

No. 7
Material: BaLaZn2Se
Method: DFT, GGA-PBE
State: relaxed

Cell: 5.549 6.796 5.549 Å, 90.00 90.00 90.00°
Positions (direct):
Zn 0.500 0.000 0.000
Zn 0.000 0.000 0.500
Ba 0.000 0.000 0.000
La 0.000 0.500 0.000
Se 0.500 0.500 0.500

total magnetization	0.00	Bohr magnetons per cell
raw formation energy	0.77	eV per atom
DOS at the Fermi energy	7.41	states/eV/f.u.

---

No. 8
Material: SbMo2PSe
Method: DFT, GGA-PBE
State: relaxed

Cell: 4.694 4.694 5.329 Å, 90.00 90.00 90.00°
Each line ends with the local moment (μB).
Positions (direct):
Sb 0.000 0.000 0.500  -0.04
Mo 0.500 0.000 0.000  1.27
Mo 0.000 0.500 0.000  1.27
Se 0.000 0.000 0.000  -0.03
P 0.500 0.500 0.500  -0.06

total magnetization	2.76	Bohr magnetons per cell
raw formation energy	1.51	eV per atom
DOS at the Fermi energy	6.32	states/eV/f.u.

---

No. 9
Material: BeAu2Se
Method: DFT, GGA-PBE
State: relaxed

Cell: 3.778 4.454 4.448 Å, 82.51 90.00 90.00°
Positions (direct):
Se 0.500 0.750 0.750
Be 0.500 0.250 0.250
Au 0.000 0.045 0.045
Au 0.000 0.455 0.455

total magnetization	0.00	Bohr magnetons per cell
raw formation energy	0.06	eV per atom
DOS at the Fermi energy	0.77	states/eV/f.u.

---

No. 10
Material: ScTiNbC2
Method: DFT, GGA-PBE
State: relaxed

Cell: 4.223 4.889 4.223 Å, 90.00 90.00 90.00°
Positions (direct):
Nb 0.000 0.000 0.000
C 0.000 0.000 0.500
C 0.500 0.000 0.000
Ti 0.500 0.500 0.500
Sc 0.000 0.500 0.000

ΔH_f (0 K)	1685	meV per atom
total magnetization	0.00	Bohr magnetons per cell
DOS at the Fermi energy	6.24	states/eV/f.u.

---

No. 11
Material: HoTm5N6
Method: DFT, GGA-PBE
State: relaxed

Cell: 5.907 5.907 5.907 Å, 60.00 80.41 70.54°
Positions (direct):
N 0.749 0.084 0.335
N 0.749 0.749 0.000
N 0.251 0.251 0.000
N 0.251 0.916 0.665
N 0.251 0.581 0.335
N 0.749 0.419 0.665
Tm 0.500 0.500 0.000
Tm 0.500 0.833 0.334
Tm 0.500 0.167 0.666
Tm 0.000 0.667 0.667
Tm 0.000 0.333 0.333
Ho 0.000 0.000 0.000

total magnetization	0.00	Bohr magnetons per cell
raw formation energy	-1.81	eV per atom
DOS at the Fermi energy	0.29	states/eV/f.u.

---

No. 12
Material: SrLaNi2H8
Method: DFT, GGA-PBE
State: relaxed

Cell: 4.732 4.732 7.082 Å, 70.48 70.48 60.00°
Positions (direct):
Sr 0.000 0.000 0.000
H 0.441 0.928 0.190
H 0.559 0.072 0.810
H 0.850 0.850 0.451
H 0.928 0.441 0.190
H 0.559 0.559 0.810
H 0.150 0.150 0.549
H 0.441 0.441 0.190
H 0.072 0.559 0.810
La 0.500 0.500 0.500
Ni 0.768 0.768 0.697
Ni 0.232 0.232 0.303

electronic total energy	-4.000	eV/atom
total magnetization	0.00	Bohr magnetons per cell
DOS at the Fermi energy	6.21	states/eV/f.u.

---

No. 13
Material: Al2InAs
Method: DFT, GGA-PBE
State: relaxed

Cell: 4.858 4.858 4.858 Å, 60.00 60.00 60.00°
Positions (direct):
As 0.500 0.500 0.500
In 0.750 0.750 0.750
Al 0.000 0.000 0.000
Al 0.250 0.250 0.250

ΔH_f (0 K)	257	meV per atom
total magnetization	0.00	Bohr magnetons per cell
DOS at the Fermi energy	2.26	states/eV/f.u.

---

No. 14
Material: YZrCu2
Method: DFT, GGA-PBE
State: relaxed

Cell: 4.786 4.787 3.358 Å, 90.00 90.00 90.00°
Each line ends with the local moment (μB).
Positions (direct):
Cu 0.000 0.000 0.000  0.04
Cu 0.500 0.500 0.000  0.04
Y 0.500 0.000 0.500  0.11
Zr 0.000 0.500 0.500  0.38

ΔH_f (0 K)	-118	meV per atom
total magnetization	0.83	Bohr magnetons per cell
DOS at the Fermi energy	4.02	states/eV/f.u.

---

No. 15
Material: AgSeS
Method: DFT, GGA-PBE
State: relaxed

Cell: 4.706 4.826 7.654 Å, 72.69 73.95 78.12°
Positions (direct):
Se 0.824 0.116 0.848
Se 0.858 0.663 0.407
S 0.552 0.361 0.634
S 0.060 0.389 0.200
Ag 0.081 0.591 0.833
Ag 0.577 0.148 0.210

total magnetization	0.00	Bohr magnetons per cell
raw formation energy	0.06	eV per atom

---

No. 16
Material: BaLaCl5
Method: DFT, GGA-PBE
State: relaxed

Cell: 7.424 11.031 11.885 Å, 90.00 90.00 90.00°
Positions (direct):
Ba 0.250 0.984 0.644
Ba 0.750 0.016 0.356
Ba 0.750 0.484 0.856
Ba 0.250 0.516 0.144
Cl 0.498 0.985 0.861
Cl 0.002 0.985 0.861
Cl 0.750 0.766 0.231
Cl 0.502 0.485 0.639
Cl 0.750 0.734 0.731
Cl 0.998 0.015 0.139
Cl 0.001 0.168 0.514
Cl 0.999 0.668 0.986
Cl 0.501 0.832 0.486
Cl 0.001 0.332 0.014
Cl 0.499 0.332 0.014
Cl 0.498 0.515 0.361
Cl 0.002 0.515 0.361
Cl 0.250 0.266 0.269
Cl 0.502 0.015 0.139
Cl 0.998 0.485 0.639
Cl 0.250 0.234 0.769
Cl 0.999 0.832 0.486
Cl 0.501 0.668 0.986
Cl 0.499 0.168 0.514
La 0.750 0.640 0.511
La 0.250 0.140 0.989
La 0.750 0.860 0.011
La 0.250 0.360 0.489

total magnetization	0.00	Bohr magnetons per cell
raw formation energy	-2.43	eV per atom
DOS at the Fermi energy	0.00	states/eV/f.u.

---

No. 17
Material: Tl2In2Hg7
Method: DFT, GGA-PBE
State: relaxed

Cell: 7.002 7.049 7.002 Å, 90.00 96.58 90.00°
Positions (direct):
Hg 0.000 0.729 0.500
Hg 0.500 0.729 0.000
Hg 0.500 0.712 0.500
Hg 0.000 0.000 0.000
Hg 0.000 0.271 0.500
Hg 0.500 0.288 0.500
Hg 0.500 0.271 0.000
Tl 0.172 0.500 0.172
Tl 0.828 0.500 0.828
In 0.283 0.000 0.717
In 0.717 0.000 0.283

ΔH_f (0 K)	64	meV per atom
total magnetization	0.00	Bohr magnetons per cell
DOS at the Fermi energy	4.84	states/eV/f.u.

---

No. 18
Material: LaP4Ru
Method: DFT, GGA-PBE
State: relaxed

Cell: 5.277 5.277 5.277 Å, 60.00 60.00 60.00°
Each line ends with the local moment (μB).
Positions (direct):
P 0.845 0.385 0.385  0.00
P 0.385 0.385 0.845  0.00
P 0.385 0.845 0.385  0.00
P 0.385 0.385 0.385  0.00
Ru 0.750 0.750 0.750  1.08
La 0.000 0.000 0.000  -0.02

ΔH_f (0 K)	191	meV per atom
total magnetization	1.15	Bohr magnetons per cell
DOS at the Fermi energy	5.29	states/eV/f.u.

---

No. 19
Material: Dy2Er6Cd
Method: DFT, GGA-PBE
State: relaxed

Cell: 4.934 10.388 10.388 Å, 90.00 90.01 90.00°
Positions (direct):
Er 0.500 0.500 0.667
Er 0.000 0.000 0.833
Er 0.000 0.000 0.167
Er 0.501 0.166 0.666
Er 0.000 0.667 0.500
Er 0.999 0.666 0.834
Er 0.499 0.834 0.334
Er 0.500 0.167 0.000
Er 0.500 0.500 0.333
Er 0.500 0.833 0.000
Er 0.001 0.334 0.166
Er 0.000 0.333 0.500
Dy 0.999 0.664 0.164
Dy 0.001 0.336 0.836
Dy 0.499 0.836 0.664
Dy 0.501 0.164 0.336
Cd 0.500 0.500 0.000
Cd 0.000 0.000 0.500

ΔH_f (0 K)	-12	meV per atom
total magnetization	0.00	Bohr magnetons per cell
DOS at the Fermi energy	12.92	states/eV/f.u.

---

No. 20
Material: PmNdDy3Sc
Method: DFT, GGA-PBE
State: relaxed

Cell: 5.008 7.913 10.002 Å, 90.00 90.00 108.45°
Positions (direct):
Sc 0.169 0.337 0.250
Sc 0.831 0.663 0.750
Pm 0.498 0.996 0.750
Pm 0.502 0.004 0.250
Dy 0.331 0.662 0.501
Dy 0.170 0.341 0.750
Dy 0.669 0.338 0.001
Dy 0.669 0.338 0.499
Dy 0.830 0.659 0.250
Dy 0.331 0.662 0.999
Nd 0.000 0.000 0.500
Nd 0.000 0.000 0.000

ΔH_f (0 K)	39	meV per atom
total magnetization	0.00	Bohr magnetons per cell
DOS at the Fermi energy	9.10	states/eV/f.u.

---

No. 21
Material: LaOs2Pb
Method: DFT, GGA-PBE
State: relaxed

Cell: 5.658 5.658 5.658 Å, 137.16 137.16 62.19°
Positions (direct):
Os 0.000 0.000 0.000
Os 0.250 0.750 0.500
La 0.750 0.250 0.500
Pb 0.500 0.500 0.000

ΔH_f (0 K)	713	meV per atom
total magnetization	0.00	Bohr magnetons per cell
DOS at the Fermi energy	6.07	states/eV/f.u.

---

No. 22
Material: LiNd2SmTl4
Method: DFT, GGA-PBE
State: relaxed

Cell: 5.341 5.341 9.584 Å, 73.82 73.82 60.00°
Positions (direct):
Tl 0.624 0.624 0.127
Tl 0.874 0.874 0.379
Tl 0.376 0.376 0.873
Tl 0.126 0.126 0.621
Li 0.500 0.500 0.500
Nd 0.756 0.756 0.731
Nd 0.244 0.244 0.269
Sm 0.000 0.000 0.000

ΔH_f (0 K)	-354	meV per atom
total magnetization	0.00	Bohr magnetons per cell
DOS at the Fermi energy	4.86	states/eV/f.u.

---

No. 23
Material: LaErS
Method: DFT, GGA-PBE
State: relaxed

Cell: 3.841 5.431 7.964 Å, 90.00 90.00 90.00°
Positions (direct):
S 0.500 0.000 0.612
S 0.000 0.500 0.388
La 0.000 0.000 0.891
La 0.500 0.500 0.109
Er 0.500 0.500 0.624
Er 0.000 0.000 0.376

total magnetization	0.01	Bohr magnetons per cell
raw formation energy	-1.27	eV per atom
DOS at the Fermi energy	2.76	states/eV/f.u.

---

No. 24
Material: InTc2
Method: DFT, GGA-PBE
State: relaxed

Cell: 5.338 5.338 6.768 Å, 76.18 76.18 32.22°
Each line ends with the local moment (μB).
Positions (direct):
Tc 0.277 0.277 0.925  0.01
Tc 0.600 0.600 0.279  0.16
Tc 0.674 0.674 0.685  0.01
Tc 0.970 0.970 0.596  -0.02
In 0.315 0.315 0.354  0.00
In 0.997 0.997 0.994  0.00

ΔH_f (0 K)	323	meV per atom
total magnetization	0.17	Bohr magnetons per cell
DOS at the Fermi energy	2.77	states/eV/f.u.